# Mg2TlCr meta-GGA SCAN single point on PBEsol structure
# - Fermi-level density of states (states/eV/cell) = 4.9
# - relative energy among the computed polymorphs (eV per atom) = 0.000
# - size of the total moment (μB/f.u.) = 4.75
# - energy of formation (kJ per mole of atoms) = 2.5
# - uncorrected energy (eV/atom) = -25.15
data_Mg2TlCr
_cell_length_a 6.8629
_cell_length_b 6.8629
_cell_length_c 6.8629
_cell_angle_alpha 90.00
_cell_angle_beta 90.00
_cell_angle_gamma 90.00
_space_group_name_H-M_alt 'F m -3 m'
_space_group_IT_number 225
_space_group_name_Hall '-F 4 2 3'
loop_
_atom_site_label
_atom_site_fract_x
_atom_site_fract_y
_atom_site_fract_z
Mg1 0.2500 0.2500 0.2500
Tl1 0.0000 0.0000 0.0000
Cr1 0.0000 0.0000 0.5000